Density functional theory data (GGA-PBE) for a geometry-optimized Li2TaWN4 structure.

Structure (POSCAR):
```
Li2TaWN4
1.0
3.034 0.000 0.000
0.000 5.254 0.089
0.000 -1.837 5.109
Li Ta W N
2 1 1 4
Direct
0.500 0.000 0.500 Li
0.000 0.500 0.500 Li
0.000 0.000 0.000 Ta
0.500 0.500 0.000 W
0.500 0.244 0.225 N
0.500 0.756 0.775 N
0.000 0.263 0.774 N
0.000 0.737 0.226 N
```

Computed properties:
The total energy comes out at -68.05 eV/cell. As for the formation energy from raw total energies: -0.76 eV per atom.

***

Density functional theory data (GGA-PBE) for a geometry-optimized Nd15HoTm4 structure.

Structure (POSCAR):
```
Nd15HoTm4
1.0
5.145 0.000 0.000
0.000 5.145 0.000
0.000 0.000 25.602
Nd Ho Tm
15 1 4
Direct
0.500 0.500 0.000 Nd
0.500 0.500 0.200 Nd
0.500 0.500 0.400 Nd
0.500 0.500 0.600 Nd
0.500 0.500 0.800 Nd
0.500 0.000 0.100 Nd
0.500 0.000 0.300 Nd
0.500 0.000 0.500 Nd
0.500 0.000 0.700 Nd
0.500 0.000 0.900 Nd
0.000 0.500 0.100 Nd
0.000 0.500 0.300 Nd
0.000 0.500 0.500 Nd
0.000 0.500 0.700 Nd
0.000 0.500 0.900 Nd
0.000 0.000 0.000 Ho
0.000 0.000 0.200 Tm
0.000 0.000 0.400 Tm
0.000 0.000 0.600 Tm
0.000 0.000 0.800 Tm
```

Computed properties:
The formation energy is 0.01 eV per atom. The total energy comes out at -93.78 eV/cell.

***

Density functional theory data (GGA-PBE) for a geometry-optimized LiScU2N5 structure.

Structure (POSCAR):
```
LiScU2N5
1.0
3.353 0.000 0.000
-1.676 6.338 0.000
0.000 0.000 10.105
Li Sc U N
2 2 4 10
Direct
0.511 0.021 0.986 Li
0.489 0.979 0.486 Li
0.803 0.607 0.491 Sc
0.197 0.393 0.991 Sc
0.871 0.742 0.779 U
0.119 0.238 0.672 U
0.129 0.258 0.279 U
0.881 0.762 0.172 U
0.359 0.717 0.027 N
0.700 0.401 0.839 N
0.485 0.969 0.791 N
0.292 0.584 0.652 N
0.961 0.922 0.586 N
0.641 0.283 0.527 N
0.300 0.599 0.339 N
0.515 0.031 0.291 N
0.708 0.416 0.152 N
0.039 0.078 0.086 N
```

Computed properties:
The total energy comes out at -164.96 eV/cell. As for the formation energy from raw total energies: -1.11 eV per atom.

***

Density functional theory data (GGA-PBE) for a geometry-optimized MgTa3Fe8 structure.

Structure (POSCAR):
```
MgTa3Fe8
1.0
-3.737 2.505 -1.740
-4.491 -1.104 1.371
-2.152 5.518 5.879
Mg Ta Fe
1 3 8
Direct
0.874 0.874 0.377 Mg
0.376 0.376 0.873 Ta
0.999 0.999 0.004 Ta
0.501 0.501 0.496 Ta
0.939 0.438 0.186 Fe
0.436 0.937 0.689 Fe
0.438 0.438 0.186 Fe
0.937 0.937 0.689 Fe
0.187 0.187 0.438 Fe
0.688 0.688 0.937 Fe
0.438 0.939 0.186 Fe
0.937 0.436 0.689 Fe
```

Computed properties:
The formation energy is -0.16 eV per atom. The total energy comes out at -106.74 eV/cell.

***

Density functional theory data (GGA-PBE) for a geometry-optimized CeNd4Ho6 structure.

Structure (POSCAR):
```
CeNd4Ho6
1.0
-7.436 0.804 6.131
3.989 -6.502 -5.945
9.493 -1.844 0.120
Ce Nd Ho
1 4 6
Direct
0.000 0.000 0.000 Ce
0.000 0.636 0.016 Nd
0.381 0.364 0.364 Nd
0.000 0.016 0.636 Nd
0.619 0.984 0.984 Nd
0.000 0.806 0.443 Ho
0.000 0.443 0.806 Ho
0.363 0.557 0.557 Ho
0.500 0.500 0.000 Ho
0.637 0.194 0.194 Ho
0.500 0.000 0.500 Ho
```

Computed properties:
The formation energy is 0.31 eV per atom. The total energy comes out at -49.05 eV/cell.

***

Density functional theory data (GGA-PBE) for a geometry-optimized ScNbVRe structure.

Structure (POSCAR):
```
ScNbVRe
1.0
-3.527 1.749 2.355
-4.282 -0.519 -1.561
-2.913 -2.794 2.180
Sc Re Nb V
1 1 1 1
Direct
0.000 0.000 0.000 Sc
0.750 0.750 0.750 Re
0.500 0.500 0.500 Nb
0.250 0.250 0.250 V
```

Computed properties:
The formation energy is -0.01 eV per atom. The total energy comes out at -38.03 eV/cell.

***

Density functional theory data (GGA-PBE) for a geometry-optimized Sr2TcI2 structure.

Structure (POSCAR):
```
Sr2TcI2
1.0
5.302 0.000 0.000
0.000 5.302 0.000
2.651 2.651 7.794
I Sr Tc
2 2 1
Direct
0.750 0.250 0.500 I
0.250 0.750 0.500 I
0.379 0.379 0.241 Sr
0.621 0.621 0.759 Sr
0.000 0.000 0.000 Tc
```

Computed properties:
The energy relative to the lowest polymorph listed for this composition is 0.73 eV per formula unit. The total energy comes out at -16.24 eV/cell. As for the formation energy from raw total energies: 0.12 eV per atom.

***

Density functional theory data (GGA-PBE) for a geometry-optimized NaTa2Ga2 structure.

Structure (POSCAR):
```
NaTa2Ga2
1.0
8.220 0.000 0.000
0.000 8.220 0.000
0.000 0.000 2.832
Na Ga Ta
2 4 4
Direct
0.000 0.000 0.000 Na
0.500 0.500 0.000 Na
0.325 0.825 0.000 Ga
0.825 0.675 0.000 Ga
0.675 0.175 0.000 Ga
0.175 0.325 0.000 Ga
0.119 0.619 0.500 Ta
0.619 0.881 0.500 Ta
0.881 0.381 0.500 Ta
0.381 0.119 0.500 Ta
```

Computed properties:
The formation energy is 0.09 eV per atom. The total energy comes out at -61.23 eV/cell.

***

Density functional theory data (GGA-PBE) for a geometry-optimized Nd2HfGa structure.

Structure (POSCAR):
```
Nd2HfGa
1.0
-1.970 -2.013 -1.761
-2.275 -1.864 1.543
-9.076 7.155 -1.161
Nd Hf Ga
2 1 1
Direct
0.095 0.095 0.716 Nd
0.905 0.905 0.284 Nd
0.000 0.000 0.000 Hf
0.500 0.500 0.500 Ga
```

Computed properties:
The formation energy is 0.24 eV per atom. The total energy comes out at -21.54 eV/cell.

***

Density functional theory data (GGA-PBE) for a geometry-optimized FeMoW structure.

Structure (POSCAR):
```
FeMoW
1.0
4.875 0.000 0.000
2.438 4.195 0.000
2.438 0.000 8.402
Mo Fe W
4 4 4
Direct
0.170 0.500 0.659 Mo
0.330 0.500 0.341 Mo
0.580 0.000 0.841 Mo
0.420 0.000 0.159 Mo
0.628 0.500 0.744 Fe
0.872 0.500 0.256 Fe
0.122 0.000 0.756 Fe
0.878 0.000 0.244 Fe
0.923 0.155 0.500 W
0.577 0.845 0.500 W
0.827 0.345 0.000 W
0.173 0.655 0.000 W
```

Computed properties:
The energy relative to the lowest polymorph listed for this composition is 0.01 eV per formula unit. The formation energy is 0.08 eV per atom. The total energy comes out at -128.05 eV/cell.

***

Density functional theory data (GGA-PBE) for a geometry-optimized Fe2HgRu structure.

Structure (POSCAR):
```
Fe2HgRu
1.0
-2.266 0.717 1.339
1.893 -1.003 1.689
3.218 8.020 1.155
Fe Hg Ru
2 1 1
Direct
0.000 0.000 0.007 Fe
0.500 0.500 0.222 Fe
0.000 0.000 0.493 Hg
0.500 0.500 0.779 Ru
```

Computed properties:
The formation energy is 0.44 eV per atom. The total energy comes out at -24.72 eV/cell.

***

Density functional theory data (GGA-PBE) for a geometry-optimized Hf8Se2N structure.

Structure (POSCAR):
```
Hf8Se2N
1.0
0.826 6.171 -0.738
-6.117 -1.016 -2.356
-5.134 -0.365 4.184
Hf Se N
8 2 1
Direct
0.792 0.154 0.648 Hf
0.208 0.352 0.846 Hf
0.810 0.136 0.136 Hf
0.190 0.864 0.864 Hf
0.792 0.648 0.154 Hf
0.208 0.846 0.352 Hf
0.194 0.368 0.368 Hf
0.806 0.632 0.632 Hf
0.495 0.248 0.248 Se
0.505 0.752 0.752 Se
0.000 0.000 0.000 N
```

Computed properties:
The total energy comes out at -101.15 eV/cell. As for the formation energy from raw total energies: -0.57 eV per atom.

***

Density functional theory data (GGA-PBE) for a geometry-optimized NaCeNbO5 structure.

Structure (POSCAR):
```
NaCeNbO5
1.0
6.238 -0.105 -0.005
-1.921 5.936 -0.005
-1.803 -2.436 7.402
Na Ce Nb O
2 2 2 10
Direct
0.311 0.689 0.250 Na
0.689 0.311 0.750 Na
0.000 0.000 0.500 Ce
0.000 0.000 0.000 Ce
0.688 0.312 0.250 Nb
0.312 0.688 0.750 Nb
0.077 0.923 0.250 O
0.923 0.077 0.750 O
0.925 0.330 0.136 O
0.075 0.670 0.864 O
0.670 0.075 0.364 O
0.330 0.925 0.636 O
0.761 0.602 0.424 O
0.239 0.398 0.576 O
0.398 0.239 0.076 O
0.602 0.761 0.924 O
```

Computed properties:
The total energy comes out at -127.74 eV/cell. As for the formation energy from raw total energies: -2.72 eV per atom.

***

Density functional theory data (GGA-PBE) for a geometry-optimized K3LiLa structure.

Structure (POSCAR):
```
K3LiLa
1.0
7.179 0.000 0.000
0.000 7.179 0.000
0.000 0.000 7.179
K Li La
3 1 1
Direct
0.000 0.500 0.000 K
0.000 0.000 0.500 K
0.500 0.000 0.000 K
0.500 0.500 0.500 Li
0.000 0.000 0.000 La
```

Computed properties:
The formation energy is 0.90 eV per atom. The total energy comes out at -5.64 eV/cell.

***

Density functional theory data (GGA-PBE) for a geometry-optimized Nd2CdNi structure.

Structure (POSCAR):
```
Nd2CdNi
1.0
-0.372 -3.551 0.176
0.704 -0.247 -3.496
7.623 -0.720 1.586
Ni Nd Cd
1 2 1
Direct
0.500 0.500 0.000 Ni
0.000 0.000 0.786 Nd
0.000 0.000 0.214 Nd
0.500 0.500 0.500 Cd
```

Computed properties:
The energy relative to the lowest polymorph listed for this composition is 0.00 eV per formula unit. The formation energy is -0.27 eV per atom. The total energy comes out at -17.31 eV/cell.

***

Density functional theory data (GGA-PBE) for a geometry-optimized Cd3WAu structure.

Structure (POSCAR):
```
Cd3WAu
1.0
5.419 0.000 0.000
0.000 5.419 0.000
0.000 0.000 5.419
Au W Cd
1 1 3
Direct
0.500 0.500 0.500 Au
0.000 0.000 0.000 W
0.000 0.500 0.000 Cd
0.000 0.000 0.500 Cd
0.500 0.000 0.000 Cd
```

Computed properties:
The energy relative to the lowest polymorph listed for this composition is 0.49 eV per formula unit. The formation energy is 1.37 eV per atom. The total energy comes out at -12.11 eV/cell.

***

Density functional theory data (GGA-PBE) for a geometry-optimized ZrTcRh2Pb structure.

Structure (POSCAR):
```
ZrTcRh2Pb
1.0
-3.952 2.635 0.883
-0.566 -2.310 4.358
2.723 3.368 2.139
Pb Rh Tc Zr
1 2 1 1
Direct
0.000 0.000 0.000 Pb
0.000 0.000 0.500 Rh
0.500 0.000 0.000 Rh
0.000 0.500 0.000 Tc
0.500 0.500 0.500 Zr
```

Computed properties:
The formation energy is 1.35 eV per atom. The total energy comes out at -30.59 eV/cell.

***

Density functional theory data (GGA-PBE) for a geometry-optimized LiAg2PdPt structure.

Structure (POSCAR):
```
LiAg2PdPt
1.0
5.075 0.000 0.000
0.000 4.916 0.000
0.000 0.000 5.075
Pd Ag Pt Li
1 2 1 1
Direct
0.000 0.000 0.000 Pd
0.000 0.000 0.500 Ag
0.500 0.000 0.000 Ag
0.000 0.500 0.000 Pt
0.500 0.500 0.500 Li
```

Computed properties:
The formation energy is 0.62 eV per atom. The total energy comes out at -15.77 eV/cell.

***

Density functional theory data (GGA-PBE) for a geometry-optimized Pr2Pt9Au structure.

Structure (POSCAR):
```
Pr2Pt9Au
1.0
-3.615 4.078 -0.323
-5.092 -0.994 -1.700
-5.391 -0.516 7.686
Pr Pt Au
2 9 1
Direct
0.866 0.866 0.402 Pr
0.134 0.134 0.598 Pr
0.668 0.668 0.997 Pt
0.332 0.332 0.003 Pt
0.500 0.500 0.500 Pt
0.414 0.414 0.252 Pt
0.920 0.414 0.252 Pt
0.414 0.920 0.252 Pt
0.586 0.586 0.748 Pt
0.586 0.080 0.748 Pt
0.080 0.586 0.748 Pt
0.000 0.000 0.000 Au
```

Computed properties:
The formation energy is -0.55 eV per atom. The total energy comes out at -73.78 eV/cell.

***

Density functional theory data (GGA-PBE) for a geometry-optimized RbMgRuSe2 structure.

Structure (POSCAR):
```
RbMgRuSe2
1.0
5.911 0.000 0.000
0.000 4.979 0.000
0.000 0.000 5.911
Ru Mg Se Rb
1 1 2 1
Direct
0.000 0.500 0.000 Ru
0.500 0.500 0.500 Mg
0.000 0.000 0.500 Se
0.500 0.000 0.000 Se
0.000 0.000 0.000 Rb
```

Computed properties:
The total energy comes out at -11.26 eV/cell. As for the formation energy from raw total energies: 1.51 eV per atom.